# 1
This record from Alexandria describes a relaxed InCu3Ni crystal. The functional is PBE-GGA.

The structure belongs to space group Pm-3m (No. 221); the cell edges are 4.4322, 4.4322 and 4.4322 Å and the angles 90.00°, 90.00° and 90.00°. Symmetry generates all atoms from In at (0.0000, 0.0000, 0.0000), Cu at (0.0000, 0.5000, 0.5000) and Ni at (0.5000, 0.5000, 0.5000).

Its electronic total energy is -17.71 eV/f.u. As for the distance to the lowest polymorph of the same formula: 0 meV/atom. For the magnetic moment, the calculation gives 0.000 μB per atom.

# 2
This record from Alexandria describes a relaxed InCu2Ni crystal. The functional is PBE-GGA.

The structure belongs to space group F-43m (No. 216); the cell edges are 6.0559, 6.0559 and 6.0559 Å and the angles 90.00°, 90.00° and 90.00°. Symmetry generates all atoms from In at (0.0000, 0.0000, 0.0000), Cu at (0.0000, 0.0000, 0.5000), Cu at (0.2500, 0.2500, 0.7500) and Ni at (0.2500, 0.2500, 0.2500).

Its electronic total energy is -16.72 eV/f.u. For the magnetic moment, the calculation gives 0.000 μB per atom.

# 3
This record from Alexandria describes a relaxed In3CuNi crystal. The functional is PBE-GGA.

The structure belongs to space group Pm-3m (No. 221); the cell edges are 4.9045, 4.9045 and 4.9045 Å and the angles 90.00°, 90.00° and 90.00°. Symmetry generates all atoms from In at (0.0000, 0.0000, 0.5000), Cu at (0.5000, 0.5000, 0.5000) and Ni at (0.0000, 0.0000, 0.0000).

Its electronic total energy is -16.88 eV/f.u. As for the distance to the lowest polymorph of the same formula: 270 meV/atom. For the magnetic moment, the calculation gives 0.000 μB per atom.